*a*
MgNi3O: relaxed, PBE+U.

Lattice parameters (Å, degrees): 3.835 3.835 3.835 90.00 90.00 90.00
Space group Pm-3m (No. 221)
Inequivalent atoms, fractional coordinates:
1 Mg 0.000 0.000 0.000
2 Ni 0.000 0.500 0.500
3 O 0.500 0.500 0.500

***

*b*
MgNi3O: relaxed, PBE+U.

Lattice parameters (Å, degrees): 4.462 4.462 4.462 90.00 90.00 90.00
Space group Pm-3m (No. 221)
Inequivalent atoms, fractional coordinates:
1 Mg 0.000 0.000 0.000
2 Ni 0.000 0.000 0.500
3 O 0.500 0.500 0.500

***

Relative energies, in meV per atom, with the most stable structure set to zero: *a* 0; *b* 1254.

***

*a*
MgNi2O: relaxed, PBE+U.

Lattice parameters (Å, degrees): 5.748 5.748 5.748 90.00 90.00 90.00
Space group Fm-3m (No. 225)
Inequivalent atoms, fractional coordinates:
1 Mg 0.000 0.000 0.000
2 Ni 0.250 0.250 0.250
3 O 0.000 0.000 0.500

***

*b*
MgNi2O: relaxed, PBE+U.

Lattice parameters (Å, degrees): 4.757 4.757 11.176 90.00 90.00 90.00
Space group I4_1/amd (No. 141, origin choice 2)
Inequivalent atoms, fractional coordinates:
1 Mg 0.000 0.250 0.375
2 Ni 0.000 0.000 0.000
3 O 0.000 0.250 0.875

***

Relative energies, in meV per atom, with the most stable structure set to zero: *a* 680; *b* 0.

***

*a*
Mg2Ni3O8: relaxed, PBE+U.

Lattice parameters (Å, degrees): 10.000 5.648 4.790 90.00 107.93 90.00
Space group C2/m (No. 12)
Inequivalent atoms, fractional coordinates:
1 Mg 0.218 0.000 0.142
2 Ni 0.000 0.246 0.500
3 Ni 0.000 0.500 0.000
4 O 0.103 0.500 0.401
5 O 0.109 0.000 0.438
6 O 0.113 0.274 0.890

***

*b*
Mg2Ni3O8: relaxed, PBE+U.

Lattice parameters (Å, degrees): 5.7219 5.7219 9.1741 90.00 90.00 120.00
Space group P6_3mc (No. 186)
Inequivalent atoms, fractional coordinates:
1 Mg 0.3333 0.6667 0.0000
2 Mg 0.3333 0.6667 0.3918
3 Ni 0.1650 0.3299 0.7196
4 O 0.0000 0.0000 0.3222
5 O 0.0384 0.5192 0.8358
6 O 0.1560 0.3121 0.1153
7 O 0.3333 0.6667 0.6137

***

Relative energies, in meV per atom, with the most stable structure set to zero: *a* 0; *b* 41.

***

*a*
MgNi2O5: relaxed, PBE+U.

Lattice parameters (Å, degrees): 3.863 10.746 10.547 90.00 90.00 90.00
Space group Cmcm (No. 63)
Inequivalent atoms, fractional coordinates:
1 Mg 0.000 0.104 0.250
2 Ni 0.000 0.255 0.597
3 O 0.000 0.086 0.685
4 O 0.000 0.210 0.080
5 O 0.000 0.354 0.750

***

*b*
MgNi2O5: relaxed, PBE+U.

Lattice parameters (Å, degrees): 3.129 11.030 5.302 90.00 90.00 90.00
Space group Pmmn (No. 59, origin choice 2)
Inequivalent atoms, fractional coordinates:
1 Mg 0.250 0.250 0.121
2 Ni 0.250 0.604 0.457
3 O 0.250 0.055 0.338
4 O 0.250 0.682 0.125
5 O 0.250 0.750 0.626

***

Relative energies, in meV per atom, with the most stable structure set to zero: *a* 0; *b* 99.

***

*a*
SrMgNiP2O8: relaxed, PBE+U.

Lattice parameters (Å, degrees): 6.105 6.696 8.936 105.90 104.43 100.17
Space group P-1 (No. 2)
Inequivalent atoms, fractional coordinates:
1 Sr 0.178 0.237 0.434
2 Mg 0.199 0.167 0.026
3 Ni 0.253 0.662 0.906
4 P 0.222 0.629 0.258
5 P 0.442 0.013 0.754
6 O 0.027 0.398 0.725
7 O 0.052 0.858 0.872
8 O 0.223 0.502 0.085
9 O 0.238 0.984 0.606
10 O 0.310 0.885 0.276
11 O 0.392 0.589 0.394
12 O 0.444 0.184 0.910
13 O 0.489 0.805 0.781

***

*b*
SrMgNiP2O8: relaxed, PBE+U.

Lattice parameters (Å, degrees): 5.505 6.922 9.294 111.09 101.08 98.16
Space group P-1 (No. 2)
Inequivalent atoms, fractional coordinates:
1 Sr 0.243 0.197 0.446
2 Mg 0.490 0.393 0.160
3 Ni 0.142 0.854 0.060
4 P 0.108 0.573 0.259
5 P 0.345 0.028 0.805
6 O 0.117 0.407 0.094
7 O 0.119 0.954 0.869
8 O 0.149 0.476 0.702
9 O 0.160 0.799 0.262
10 O 0.244 0.008 0.635
11 O 0.336 0.547 0.375
12 O 0.457 0.116 0.194
13 O 0.499 0.744 0.072

***

Relative energies, in meV per atom, with the most stable structure set to zero: *a* 134; *b* 0.

***

*a*
MgSiNiO4: relaxed, PBE+U.

Lattice parameters (Å, degrees): 5.561 8.512 6.224 90.00 90.00 90.00
Space group Cmcm (No. 63)
Inequivalent atoms, fractional coordinates:
1 Mg 0.000 0.167 0.250
2 Si 0.000 0.151 0.750
3 Ni 0.000 0.500 0.000
4 O 0.000 0.261 0.537
5 O 0.232 0.025 0.750

***

*b*
MgSiNiO4: relaxed, PBE+U.

Lattice parameters (Å, degrees): 10.206 6.021 4.797 90.00 90.00 90.00
Space group Pnma (No. 62)
Inequivalent atoms, fractional coordinates:
1 Mg 0.000 0.000 0.000
2 Si 0.095 0.250 0.429
3 Ni 0.226 0.750 0.495
4 O 0.054 0.750 0.721
5 O 0.091 0.250 0.769
6 O 0.164 0.031 0.277

***

Relative energies, in meV per atom, with the most stable structure set to zero: *a* 59; *b* 0.

***

*a*
Mg6TiNiO8: relaxed, PBE+U.

Lattice parameters (Å, degrees): 4.204 4.204 8.872 90.00 90.00 90.00
Space group P4/mmm (No. 123)
Inequivalent atoms, fractional coordinates:
1 Mg 0.000 0.000 0.000
2 Mg 0.000 0.500 0.246
3 Mg 0.500 0.500 0.000
4 Ti 0.000 0.000 0.500
5 Ni 0.500 0.500 0.500
6 O 0.000 0.000 0.256
7 O 0.000 0.500 0.000
8 O 0.000 0.500 0.500
9 O 0.500 0.500 0.231

***

*b*
Mg6TiNiO8: relaxed, PBE+U.

Lattice parameters (Å, degrees): 4.219 4.219 8.884 90.00 90.00 90.00
Space group P4/mmm (No. 123)
Inequivalent atoms, fractional coordinates:
1 Mg 0.000 0.000 0.000
2 Mg 0.000 0.000 0.500
3 Mg 0.000 0.500 0.236
4 Ti 0.500 0.500 0.500
5 Ni 0.500 0.500 0.000
6 O 0.000 0.000 0.250
7 O 0.000 0.500 0.000
8 O 0.000 0.500 0.500
9 O 0.500 0.500 0.276

***

Relative energies, in meV per atom, with the most stable structure set to zero: *a* 7; *b* 0.